This record from the Open Quantum Materials Database describes a geometry-optimized Tc2Ge structure. The functional is PBE.

Geometry as POSCAR:
```
Tc2Ge
1.0
3.7541 0.0000 0.0000
0.0000 3.7541 0.0000
0.0000 0.0000 6.4546
Tc Ge
4 2
direct
0.2500 0.2500 0.1855
0.2500 0.7500 0.5000
0.7500 0.2500 0.5000
0.7500 0.7500 0.8145
0.2500 0.2500 0.7969
0.7500 0.7500 0.2031
```

Values from the calculation:
As for the calculated volume: 90.97 Å³/cell. As for the energy relative to the lowest polymorph listed for this composition: 0.098 eV per atom. As for the mass density: 9.81 g/cm³. The value obtained for the electronic total energy is -8.473 eV per atom.

This record from the Open Quantum Materials Database describes a geometry-optimized IrIO structure. The functional is PBE.

Geometry as POSCAR:
```
IrIO
1.0
1.9221 1.1097 8.6954
-1.9221 1.1097 8.6954
0.0000 -2.2194 8.6954
Ir I O
2 2 2
direct
0.2215 0.2215 0.2215
0.7785 0.7785 0.7785
0.3936 0.3936 0.3936
0.6064 0.6064 0.6064
0.1400 0.1400 0.1400
0.8600 0.8600 0.8600
```

Values from the calculation:
As for the calculated volume: 111.28 Å³/cell. As for the energy relative to the lowest polymorph listed for this composition: 0.339 eV per atom. As for the mass density: 10.00 g/cm³. The value obtained for the electronic total energy is -4.897 eV per atom.

Copy entry 1 word for word.
This record from the Open Quantum Materials Database describes a geometry-optimized Tc2Ge structure. The functional is PBE.

Geometry as POSCAR:
```
Tc2Ge
1.0
3.7541 0.0000 0.0000
0.0000 3.7541 0.0000
0.0000 0.0000 6.4546
Tc Ge
4 2
direct
0.2500 0.2500 0.1855
0.2500 0.7500 0.5000
0.7500 0.2500 0.5000
0.7500 0.7500 0.8145
0.2500 0.2500 0.7969
0.7500 0.7500 0.2031
```

Values from the calculation:
As for the calculated volume: 90.97 Å³/cell. As for the energy relative to the lowest polymorph listed for this composition: 0.098 eV per atom. As for the mass density: 9.81 g/cm³. The value obtained for the electronic total energy is -8.473 eV per atom.

- Look up the calculated volume of the second one.
  111.28 Å³/cell

- Among the records above, which one has the lowest mass density?
  Tc2Ge